(1)
A geometry-optimized BaLaNpN3 structure, computed with GGA-PBE.

```
BaLaNpN3
1.0
7.217 0.000 0.000
0.000 3.748 0.000
-2.509 0.000 9.942
Ba La Np N
2 2 2 6
direct
0.211 0.250 0.262
0.789 0.750 0.738
0.189 0.250 0.613
0.811 0.750 0.387
0.408 0.750 0.927
0.592 0.250 0.073
0.154 0.750 0.445
0.170 0.750 0.793
0.495 0.750 0.162
0.505 0.250 0.838
0.830 0.250 0.207
0.846 0.250 0.555
```

Summary:
Volume, Å³ per cell: 269
Total magnetization, μB/f.u.: 0.27
Formation energy without anion corrections, eV/atom: -0.87
N(E_F), states/eV per cell: 4.69



(2)
A geometry-optimized Ba3La2NpN6 structure, computed with GGA-PBE.

```
Ba3La2NpN6
1.0
3.235 -5.592 0.000
3.235 5.592 0.000
-2.112 0.000 6.390
Ba La Np N
3 2 1 6
direct
0.000 0.000 0.000
0.334 0.666 0.000
0.666 0.334 0.000
0.166 0.834 0.500
0.834 0.166 0.500
0.500 0.500 0.500
0.155 0.438 0.316
0.274 0.274 0.698
0.438 0.155 0.316
0.562 0.845 0.684
0.726 0.726 0.302
0.845 0.562 0.684
```

Summary:
Volume, Å³ per cell: 231
Total magnetization, μB/f.u.: 0.56
Formation energy without anion corrections, eV/atom: -0.95
N(E_F), states/eV per cell: 5.00



(3)
A geometry-optimized Ba2La3NpN6 structure, computed with GGA-PBE.

```
Ba2La3NpN6
1.0
3.268 -5.900 0.000
3.268 5.900 0.000
-2.169 0.000 5.994
Ba La Np N
2 3 1 6
direct
0.170 0.830 0.000
0.830 0.170 0.000
0.000 0.000 0.500
0.351 0.649 0.500
0.649 0.351 0.500
0.500 0.500 0.000
0.173 0.420 0.774
0.300 0.300 0.266
0.420 0.173 0.774
0.580 0.827 0.226
0.700 0.700 0.734
0.827 0.580 0.226
```

Summary:
Volume, Å³ per cell: 231
Total magnetization, μB/f.u.: 1.59
Formation energy without anion corrections, eV/atom: -1.05
N(E_F), states/eV per cell: 3.73



(4)
A geometry-optimized BaLaN2O structure, computed with GGA-PBE.

```
BaLaN2O
1.0
4.444 0.000 0.000
0.000 4.444 0.000
0.000 0.000 4.728
Ba La N O
1 1 2 1
direct
0.000 0.000 0.000
0.500 0.500 0.500
0.000 0.500 0.500
0.500 0.000 0.500
0.500 0.500 0.000
```

Summary:
Volume, Å³ per cell: 93
Total magnetization, μB/f.u.: 0.49
Formation energy without anion corrections, eV/atom: -0.66
N(E_F), states/eV per cell: 4.24



(5)
A geometry-optimized BaLaN2O structure, computed with GGA-PBE.

```
BaLaN2O
1.0
4.554 0.000 0.000
0.000 4.554 0.000
0.000 0.000 4.590
Ba La N O
1 1 2 1
direct
0.000 0.000 0.000
0.500 0.500 0.500
0.000 0.500 0.000
0.500 0.000 0.000
0.000 0.000 0.500
```

Summary:
Volume, Å³ per cell: 95
Total magnetization, μB/f.u.: 0.32
Formation energy without anion corrections, eV/atom: 0.17
N(E_F), states/eV per cell: 2.42



(6)
A geometry-optimized BaLaOsN2 structure, computed with GGA-PBE.

```
BaLaOsN2
1.0
6.116 0.000 0.000
0.000 5.015 0.000
-0.796 0.000 7.512
Ba La Os N
2 2 2 4
direct
0.000 0.088 0.250
0.000 0.912 0.750
0.500 0.482 0.750
0.500 0.518 0.250
0.500 0.000 0.000
0.500 0.000 0.500
0.279 0.262 0.984
0.279 0.738 0.484
0.721 0.262 0.516
0.721 0.738 0.016
```

Summary:
Volume, Å³ per cell: 230
Total magnetization, μB/f.u.: 0.00
Formation energy without anion corrections, eV/atom: -0.38
N(E_F), states/eV per cell: 8.90



(7)
A geometry-optimized BaLa2OsN4 structure, computed with GGA-PBE.

```
BaLa2OsN4
1.0
1.824 -6.394 0.000
1.824 6.394 0.000
0.000 0.000 12.784
Ba La Os N
2 4 2 8
direct
0.065 0.935 0.750
0.935 0.065 0.250
0.369 0.631 0.542
0.369 0.631 0.958
0.631 0.369 0.042
0.631 0.369 0.458
0.194 0.806 0.250
0.806 0.194 0.750
0.000 0.000 0.000
0.000 0.000 0.500
0.255 0.745 0.116
0.255 0.745 0.384
0.380 0.620 0.750
0.620 0.380 0.250
0.745 0.255 0.616
0.745 0.255 0.884
```

Summary:
Volume, Å³ per cell: 298
Total magnetization, μB/f.u.: 0.00
Formation energy without anion corrections, eV/atom: -0.73
N(E_F), states/eV per cell: 6.77



(8)
A geometry-optimized Ba2LaOs2N6 structure, computed with GGA-PBE.

```
Ba2LaOs2N6
1.0
3.086 1.782 6.415
-3.086 1.782 6.415
0.000 -3.564 6.415
Ba La Os N
2 1 2 6
direct
0.213 0.213 0.213
0.787 0.787 0.787
0.000 0.000 0.000
0.405 0.405 0.405
0.595 0.595 0.595
0.250 0.742 0.742
0.258 0.258 0.750
0.258 0.750 0.258
0.742 0.250 0.742
0.742 0.742 0.250
0.750 0.258 0.258
```

Summary:
Volume, Å³ per cell: 212
Total magnetization, μB/f.u.: 0.00
Formation energy without anion corrections, eV/atom: -0.47
N(E_F), states/eV per cell: 4.81



(9)
A geometry-optimized BaLaPaN3 structure, computed with GGA-PBE.

```
BaLaPaN3
1.0
6.238 0.000 0.000
0.000 3.688 0.000
-1.882 0.000 9.745
Ba La Pa N
2 2 2 6
direct
0.163 0.250 0.199
0.837 0.750 0.801
0.349 0.250 0.861
0.651 0.750 0.139
0.262 0.750 0.541
0.738 0.250 0.459
0.049 0.250 0.615
0.285 0.750 0.000
0.476 0.750 0.382
0.524 0.250 0.618
0.715 0.250 0.000
0.951 0.750 0.385
```

Summary:
Volume, Å³ per cell: 224
Total magnetization, μB/f.u.: 0.36
Formation energy without anion corrections, eV/atom: -1.18
N(E_F), states/eV per cell: 6.26



(10)
A geometry-optimized Ba2LaPa3N8 structure, computed with GGA-PBE.

```
Ba2LaPa3N8
1.0
3.599 2.078 6.234
-3.599 2.078 6.234
0.000 -4.156 6.234
Ba La Pa N
2 1 3 8
direct
0.000 0.000 0.000
0.377 0.377 0.377
0.608 0.608 0.608
0.001 0.001 0.497
0.001 0.497 0.001
0.497 0.001 0.001
0.205 0.739 0.739
0.226 0.226 0.226
0.253 0.253 0.820
0.253 0.820 0.253
0.739 0.205 0.739
0.739 0.739 0.205
0.771 0.771 0.771
0.820 0.253 0.253
```

Summary:
Volume, Å³ per cell: 280
Total magnetization, μB/f.u.: 0.00
Formation energy without anion corrections, eV/atom: -1.15
N(E_F), states/eV per cell: 17.24



(11)
A geometry-optimized BaLa3Pa2N6 structure, computed with GGA-PBE.

```
BaLa3Pa2N6
1.0
8.172 -1.835 0.000
8.172 1.835 0.000
-1.579 0.000 7.254
Ba La Pa N
1 3 2 6
direct
0.000 0.000 0.000
0.000 0.000 0.500
0.329 0.329 0.159
0.671 0.671 0.841
0.329 0.329 0.663
0.671 0.671 0.337
0.178 0.178 0.129
0.179 0.179 0.562
0.465 0.465 0.702
0.535 0.535 0.298
0.821 0.821 0.438
0.822 0.822 0.871
```

Summary:
Volume, Å³ per cell: 218
Total magnetization, μB/f.u.: 0.00
Formation energy without anion corrections, eV/atom: -1.35
N(E_F), states/eV per cell: 5.18



(12)
A geometry-optimized Ba3LaPa2N6 structure, computed with GGA-PBE.

```
Ba3LaPa2N6
1.0
8.389 -1.858 0.000
8.389 1.858 0.000
-2.194 0.000 7.404
Ba La Pa N
3 1 2 6
direct
0.000 0.000 0.000
0.334 0.334 0.669
0.666 0.666 0.331
0.000 0.000 0.500
0.331 0.331 0.168
0.669 0.669 0.832
0.164 0.164 0.638
0.186 0.186 0.043
0.469 0.469 0.256
0.531 0.531 0.744
0.814 0.814 0.957
0.836 0.836 0.362
```

Summary:
Volume, Å³ per cell: 231
Total magnetization, μB/f.u.: 0.00
Formation energy without anion corrections, eV/atom: -1.20
N(E_F), states/eV per cell: 2.71



So what do the calculations give for density? Going down the list: 6.858 7.262 7.273 5.696 5.587 7.127 7.366 6.888 8.138 7.234 8.399 7.892 g cm⁻³.